1.
AlSi2Pt | PBE | optimized geometry

Output
size of the total moment	0.00	μB per cell
uncorrected formation energy	-0.114	eV per atom
D(E_F)	2.67	states/eV per cell

a b c (Å): 3.2937 3.2937 21.0100
angles (deg): 90.00 90.00 120.00
Sites, in units of the cell vectors:
Al (0.0000, 0.0000, 0.0000)
Al (0.3333, 0.6667, 0.6667)
Al (0.6667, 0.3333, 0.3333)
Si (0.0000, 0.0000, 0.2444)
Si (0.0000, 0.0000, 0.7556)
Si (0.3333, 0.6667, 0.4223)
Si (0.3333, 0.6667, 0.9111)
Si (0.6667, 0.3333, 0.0889)
Si (0.6667, 0.3333, 0.5777)
Pt (0.0000, 0.0000, 0.5000)
Pt (0.3333, 0.6667, 0.1667)
Pt (0.6667, 0.3333, 0.8333)

---

2.
Si4As5 | PBE | optimized geometry

Output
size of the total moment	0.00	μB per cell
uncorrected formation energy	0.488	eV per atom
D(E_F)	8.31	states/eV per cell

a b c (Å): 8.2680 8.2680 5.3510
angles (deg): 90.00 90.00 120.00
Sites, in units of the cell vectors:
Si (0.0000, 0.0000, 0.0000)
Si (0.0000, 0.0000, 0.5000)
Si (0.0000, 0.3559, 0.2500)
Si (0.0000, 0.6441, 0.7500)
Si (0.3559, 0.0000, 0.2500)
Si (0.3559, 0.3559, 0.7500)
Si (0.6441, 0.0000, 0.7500)
Si (0.6441, 0.6441, 0.2500)
As (0.0000, 0.2827, 0.7500)
As (0.0000, 0.7173, 0.2500)
As (0.2827, 0.0000, 0.7500)
As (0.2827, 0.2827, 0.2500)
As (0.3333, 0.6667, 0.0000)
As (0.3333, 0.6667, 0.5000)
As (0.6667, 0.3333, 0.0000)
As (0.6667, 0.3333, 0.5000)
As (0.7173, 0.0000, 0.2500)
As (0.7173, 0.7173, 0.7500)

---

3.
Cs3CdPb2Br9 | PBE | optimized geometry

Output
size of the total moment	0.00	μB per cell
uncorrected formation energy	-1.273	eV per atom
D(E_F)	0.00	states/eV per cell

a b c (Å): 8.2824 8.2824 10.1604
angles (deg): 90.00 90.00 120.00
Sites, in units of the cell vectors:
Cs (0.0000, 0.0000, 0.0000)
Cs (0.3333, 0.6667, 0.6610)
Cs (0.6667, 0.3333, 0.3390)
Cd (0.0000, 0.0000, 0.5000)
Pb (0.3333, 0.6667, 0.1752)
Pb (0.6667, 0.3333, 0.8248)
Br (0.0000, 0.5000, 0.0000)
Br (0.1598, 0.3197, 0.3413)
Br (0.1598, 0.8402, 0.3413)
Br (0.3197, 0.1598, 0.6587)
Br (0.5000, 0.0000, 0.0000)
Br (0.5000, 0.5000, 0.0000)
Br (0.6803, 0.8402, 0.3413)
Br (0.8402, 0.1598, 0.6587)
Br (0.8402, 0.6803, 0.6587)

---

4.
KZr2Au | PBE | optimized geometry

Output
size of the total moment	0.00	μB per cell
formation enthalpy at 0 K	0.461	eV/atom
D(E_F)	8.02	states/eV per cell
excess energy over the best structure of this formula in the dataset	501	meV per atom

a b c (Å): 3.1689 5.7326 11.0559
angles (deg): 90.00 90.00 90.00
Sites, in units of the cell vectors:
K (0.0000, 0.0000, 0.0000)
K (0.5000, 0.5000, 0.5000)
Zr (0.0000, 0.0000, 0.5351)
Zr (0.0000, 0.5000, 0.7995)
Zr (0.5000, 0.0000, 0.2995)
Zr (0.5000, 0.5000, 0.0351)
Au (0.0000, 0.5000, 0.2499)
Au (0.5000, 0.0000, 0.7499)

---

5.
CeThAg | PBE | optimized geometry

Output
size of the total moment	0.64	μB per cell
formation enthalpy at 0 K	0.099	eV/atom
D(E_F)	5.74	states/eV per cell
excess energy over the best structure of this formula in the dataset	76	meV per atom

a b c (Å): 5.0916 5.0916 3.5036
angles (deg): 90.00 90.00 120.00
Sites, in units of the cell vectors:
Ce (0.0000, 0.0000, 0.0000)
Th (0.6667, 0.3333, 0.3527)
Ag (0.3333, 0.6667, 0.6566)

---

6.
Sn3As5S12 | PBE | optimized geometry

Output
size of the total moment	0.00	μB per cell
uncorrected formation energy	-0.038	eV per atom
D(E_F)	17.40	states/eV per cell

a b c (Å): 13.5612 13.5612 13.5612
angles (deg): 109.47 109.47 109.47
Sites, in units of the cell vectors:
Sn (0.1250, 0.2500, 0.3750)
Sn (0.1250, 0.3750, 0.7500)
Sn (0.2500, 0.3750, 0.1250)
Sn (0.2500, 0.8750, 0.6250)
Sn (0.3750, 0.1250, 0.2500)
Sn (0.3750, 0.7500, 0.1250)
Sn (0.6250, 0.2500, 0.8750)
Sn (0.6250, 0.8750, 0.7500)
Sn (0.7500, 0.1250, 0.3750)
Sn (0.7500, 0.6250, 0.8750)
Sn (0.8750, 0.6250, 0.2500)
Sn (0.8750, 0.7500, 0.6250)
As (0.0000, 0.0000, 0.0000)
As (0.0000, 0.0000, 0.5000)
As (0.0000, 0.5000, 0.0000)
As (0.0000, 0.5000, 0.5000)
As (0.1250, 0.7500, 0.8750)
As (0.1250, 0.8750, 0.2500)
As (0.2500, 0.1250, 0.8750)
As (0.2500, 0.6250, 0.3750)
As (0.3750, 0.2500, 0.6250)
As (0.3750, 0.6250, 0.7500)
As (0.5000, 0.0000, 0.0000)
As (0.5000, 0.0000, 0.5000)
As (0.5000, 0.5000, 0.0000)
As (0.5000, 0.5000, 0.5000)
As (0.6250, 0.3750, 0.2500)
As (0.6250, 0.7500, 0.3750)
As (0.7500, 0.3750, 0.6250)
As (0.7500, 0.8750, 0.1250)
As (0.8750, 0.1250, 0.7500)
As (0.8750, 0.2500, 0.1250)
S (0.0269, 0.2070, 0.1202)
S (0.0269, 0.3200, 0.9067)
S (0.0868, 0.7070, 0.6800)
S (0.0868, 0.8798, 0.4067)
S (0.0933, 0.6202, 0.4132)
S (0.0933, 0.9731, 0.6800)
S (0.1202, 0.0269, 0.2070)
S (0.1202, 0.5933, 0.9132)
S (0.1800, 0.2070, 0.5868)
S (0.1800, 0.4731, 0.5933)
S (0.2070, 0.1202, 0.0269)
S (0.2070, 0.5868, 0.1800)
S (0.2930, 0.3200, 0.9132)
S (0.2930, 0.4731, 0.3798)
S (0.3200, 0.9067, 0.0269)
S (0.3200, 0.9132, 0.2930)
S (0.3798, 0.2930, 0.4731)
S (0.3798, 0.5868, 0.9067)
S (0.4067, 0.0868, 0.8798)
S (0.4067, 0.8200, 0.5269)
S (0.4132, 0.0933, 0.6202)
S (0.4132, 0.8200, 0.7930)
S (0.4731, 0.3798, 0.2930)
S (0.4731, 0.5933, 0.1800)
S (0.5269, 0.4067, 0.8200)
S (0.5269, 0.6202, 0.7070)
S (0.5868, 0.1800, 0.2070)
S (0.5868, 0.9067, 0.3798)
S (0.5933, 0.1800, 0.4731)
S (0.5933, 0.9132, 0.1202)
S (0.6202, 0.4132, 0.0933)
S (0.6202, 0.7070, 0.5269)
S (0.6800, 0.0868, 0.7070)
S (0.6800, 0.0933, 0.9731)
S (0.7070, 0.5269, 0.6202)
S (0.7070, 0.6800, 0.0868)
S (0.7930, 0.4132, 0.8200)
S (0.7930, 0.8798, 0.9731)
S (0.8200, 0.5269, 0.4067)
S (0.8200, 0.7930, 0.4132)
S (0.8798, 0.4067, 0.0868)
S (0.8798, 0.9731, 0.7930)
S (0.9067, 0.0269, 0.3200)
S (0.9067, 0.3798, 0.5868)
S (0.9132, 0.1202, 0.5933)
S (0.9132, 0.2930, 0.3200)
S (0.9731, 0.6800, 0.0933)
S (0.9731, 0.7930, 0.8798)

---

7.
Zr2InP | PBE | optimized geometry

Output
size of the total moment	0.00	μB per cell
formation enthalpy at 0 K	-0.357	eV/atom
D(E_F)	2.76	states/eV per cell
excess energy over the best structure of this formula in the dataset	494	meV per atom

a b c (Å): 4.4737 4.4737 3.9653
angles (deg): 90.00 90.00 90.00
Sites, in units of the cell vectors:
Zr (0.0000, 0.5000, 0.0000)
Zr (0.5000, 0.0000, 0.0000)
In (0.0000, 0.0000, 0.5000)
P (0.5000, 0.5000, 0.5000)

---

8.
LiTbBe17 | PBE | optimized geometry

Output
size of the total moment	0.00	μB per cell
formation enthalpy at 0 K	-0.029	eV/atom
D(E_F)	2.43	states/eV per cell

a b c (Å): 5.7407 5.7407 5.7407
angles (deg): 83.06 83.06 83.06
Sites, in units of the cell vectors:
Li (0.0000, 0.0000, 0.0000)
Tb (0.3168, 0.3168, 0.3168)
Be (0.1660, 0.6527, 0.6527)
Be (0.3203, 0.3203, 0.8182)
Be (0.3203, 0.8182, 0.3203)
Be (0.3730, 0.6643, 0.9446)
Be (0.3730, 0.9446, 0.6643)
Be (0.5174, 0.9982, 0.9982)
Be (0.5642, 0.5642, 0.5642)
Be (0.6527, 0.1660, 0.6527)
Be (0.6527, 0.6527, 0.1660)
Be (0.6643, 0.3730, 0.9446)
Be (0.6643, 0.9446, 0.3730)
Be (0.7571, 0.7571, 0.7571)
Be (0.8182, 0.3203, 0.3203)
Be (0.9446, 0.3730, 0.6643)
Be (0.9446, 0.6643, 0.3730)
Be (0.9982, 0.5174, 0.9982)
Be (0.9982, 0.9982, 0.5174)

---

What is the formula in the seventh record?
Zr2InP